No. 1
Entry from Alexandria via LeMat-Bulk: a relaxed structure of Tm2NbAg (GGA-PBE).

Cell: 3.3109 3.3109 8.3827 Å, 90.00 90.00 90.00°
Element x y z (fractional)
Tm: 0.0000 0.0000 0.2452
Tm: 0.0000 0.0000 0.7548
Nb: 0.5000 0.5000 0.5000
Ag: 0.5000 0.5000 0.0000

Values from the calculation:
Energy above the lowest structure with this stoichiometry ... 0 meV per atom
Energy of formation ... -0.01 eV/atom


No. 2
Entry from Alexandria via LeMat-Bulk: a relaxed structure of Nb2V2Ag (GGA-PBE).

Cell: 6.9688 6.9688 3.4402 Å, 90.00 90.00 90.00°
Element x y z (fractional)
Nb: 0.1752 0.3248 0.0000
Nb: 0.3248 0.8248 0.0000
Nb: 0.6752 0.1752 0.0000
Nb: 0.8248 0.6752 0.0000
V: 0.1205 0.6205 0.5000
V: 0.3795 0.1205 0.5000
V: 0.6205 0.8795 0.5000
V: 0.8795 0.3795 0.5000
Ag: 0.0000 0.0000 0.5000
Ag: 0.5000 0.5000 0.5000

Values from the calculation:
Energy above the lowest structure with this stoichiometry ... 0 meV per atom
Energy of formation ... 0.30 eV/atom


No. 3
Entry from Alexandria via LeMat-Bulk: a relaxed structure of Nb2V2Ag (GGA-PBE).

Cell: 7.3926 7.3926 7.3926 Å, 151.93 151.93 40.12°
Element x y z (fractional)
Nb: 0.1075 0.1075 0.0000
Nb: 0.8925 0.8925 0.0000
V: 0.2500 0.7500 0.5000
V: 0.7500 0.2500 0.5000
Ag: 0.5000 0.5000 0.0000

Values from the calculation:
Energy above the lowest structure with this stoichiometry ... 394 meV per atom
Energy of formation ... 0.69 eV/atom


No. 4
Entry from Alexandria via LeMat-Bulk: a relaxed structure of NbVAg3 (GGA-PBE).

Cell: 4.8377 4.8377 4.8377 Å, 90.00 90.00 90.00°
Element x y z (fractional)
Nb: 0.0000 0.0000 0.0000
V: 0.5000 0.5000 0.5000
Ag: 0.0000 0.5000 0.5000
Ag: 0.5000 0.0000 0.5000
Ag: 0.5000 0.5000 0.0000

Values from the calculation:
Energy above the lowest structure with this stoichiometry ... 0 meV per atom
Energy of formation ... 1.47 eV/atom


No. 5
Entry from Alexandria via LeMat-Bulk: a relaxed structure of Nb2V2Ag (GGA-PBE).

Cell: 7.3498 7.3498 3.2040 Å, 90.00 90.00 90.00°
Element x y z (fractional)
Nb: 0.1431 0.3569 0.0000
Nb: 0.3569 0.8569 0.0000
Nb: 0.6431 0.1431 0.0000
Nb: 0.8569 0.6431 0.0000
V: 0.1466 0.6466 0.5000
V: 0.3534 0.1466 0.5000
V: 0.6466 0.8534 0.5000
V: 0.8534 0.3534 0.5000
Ag: 0.0000 0.0000 0.0000
Ag: 0.5000 0.5000 0.0000

Values from the calculation:
Energy above the lowest structure with this stoichiometry ... 210 meV per atom
Energy of formation ... 0.51 eV/atom


No. 6
Entry from Alexandria via LeMat-Bulk: a relaxed structure of NbVAg (GGA-PBE).

Cell: 3.4676 3.4676 8.9383 Å, 90.00 90.00 90.00°
Element x y z (fractional)
Nb: 0.2500 0.2500 0.2297
Nb: 0.7500 0.7500 0.7703
V: 0.2500 0.7500 0.0000
V: 0.7500 0.2500 0.0000
Ag: 0.2500 0.2500 0.5845
Ag: 0.7500 0.7500 0.4155

Values from the calculation:
Energy of formation ... 0.56 eV/atom


No. 7
Entry from Alexandria via LeMat-Bulk: a relaxed structure of Nb3VAg (GGA-PBE).

Cell: 4.6462 4.6462 4.6462 Å, 90.00 90.00 90.00°
Element x y z (fractional)
Nb: 0.0000 0.0000 0.5000
Nb: 0.0000 0.5000 0.0000
Nb: 0.5000 0.0000 0.0000
V: 0.0000 0.0000 0.0000
Ag: 0.5000 0.5000 0.5000

Values from the calculation:
Energy above the lowest structure with this stoichiometry ... 0 meV per atom
Energy of formation ... 0.99 eV/atom


No. 8
Entry from Alexandria via LeMat-Bulk: a relaxed structure of Nb2VZnAg (GGA-PBE).

Cell: 4.5681 4.5681 4.7920 Å, 90.00 90.00 90.00°
Element x y z (fractional)
Nb: 0.0000 0.5000 0.0000
Nb: 0.5000 0.0000 0.0000
V: 0.0000 0.0000 0.0000
Zn: 0.0000 0.0000 0.5000
Ag: 0.5000 0.5000 0.5000

Values from the calculation:
Energy of formation ... 0.91 eV/atom


no.,ρ (g/cm³),volume (A^3/atom)
1,9.7,22.97
2,7.9,16.71
3,7.4,17.86
4,6.9,22.64
5,7.6,17.31
6,7.8,17.91
7,7.2,20.06
8,6.8,20.00